#1
The following is a GGA-PBE calculation of a geometry-optimized MgCd4Sn structure, from Alexandria via LeMat-Bulk.

Unit cell a=5.589 b=9.447 c=8.386 alpha=105.61 beta=79.02 gamma=139.27
Sites, in units of the cell vectors:
Cd1 0.426 0.671 0.419
Cd2 0.574 0.329 0.581
Cd3 0.244 0.006 0.252
Cd4 0.756 0.994 0.748
Cd5 0.101 0.841 0.583
Cd6 0.243 0.495 0.741
Cd7 0.757 0.505 0.259
Cd8 0.899 0.159 0.417
Mg1 0.430 0.175 0.915
Mg2 0.570 0.825 0.085
Sn1 0.071 0.323 0.082
Sn2 0.929 0.677 0.918

Output
density of states at the Fermi level: 2.03 states/eV/f.u.
crystal system: triclinic

***

#2
The following is a GGA-PBE calculation of a geometry-optimized MgCd4Sn structure, from Alexandria via LeMat-Bulk.

Unit cell a=5.890 b=5.890 c=5.890 alpha=60.00 beta=60.00 gamma=60.00
Sites, in units of the cell vectors:
Cd1 0.625 0.625 0.625
Cd2 0.625 0.126 0.625
Cd3 0.625 0.625 0.126
Cd4 0.126 0.625 0.625
Mg1 0.250 0.250 0.250
Sn1 0.000 0.000 0.000

Output
density of states at the Fermi level: 2.42 states/eV/f.u.
crystal system: cubic

***

Most stable: #1 (next structure +58 meV per atom)

***

#1
The following is a GGA-PBE calculation of a geometry-optimized Mg3CdSn structure, from Alexandria via LeMat-Bulk.

Unit cell a=5.415 b=5.415 c=5.415 alpha=90.00 beta=90.00 gamma=90.00
Sites, in units of the cell vectors:
Sn1 0.000 0.000 0.000
Cd1 0.500 0.500 0.500
Mg1 0.500 0.000 0.000
Mg2 0.000 0.000 0.500
Mg3 0.000 0.500 0.000

Output
density of states at the Fermi level: 3.65 states/eV/f.u.
crystal system: cubic

***

#2
The following is a GGA-PBE calculation of a geometry-optimized Mg3CdSn structure, from Alexandria via LeMat-Bulk.

Unit cell a=3.313 b=8.312 c=14.411 alpha=66.08 beta=45.63 gamma=89.93
Sites, in units of the cell vectors:
Cd1 0.394 0.100 0.570
Cd2 0.978 0.920 0.876
Mg1 0.636 0.106 0.325
Mg2 0.927 0.313 0.727
Mg3 0.884 0.542 0.073
Mg4 0.492 0.478 0.371
Mg5 0.445 0.706 0.719
Mg6 0.733 0.912 0.121
Sn1 0.727 0.728 0.460
Sn2 0.644 0.290 0.986

Output
density of states at the Fermi level: 1.32 states/eV/f.u.
crystal system: triclinic

***

Most stable: #2 (next structure +394 meV per atom)

***

#1
The following is a GGA-PBE calculation of a geometry-optimized MgCdSn3 structure, from Alexandria via LeMat-Bulk.

Unit cell a=5.424 b=5.424 c=5.424 alpha=90.00 beta=90.00 gamma=90.00
Sites, in units of the cell vectors:
Mg1 0.000 0.000 0.000
Sn1 0.500 0.000 0.000
Sn2 0.000 0.000 0.500
Sn3 0.000 0.500 0.000
Cd1 0.500 0.500 0.500

Output
density of states at the Fermi level: 1.43 states/eV/f.u.
crystal system: cubic

***

#2
The following is a GGA-PBE calculation of a geometry-optimized MgCdSn3 structure, from Alexandria via LeMat-Bulk.

Unit cell a=6.126 b=6.362 c=6.810 alpha=90.00 beta=83.46 gamma=90.00
Sites, in units of the cell vectors:
Mg1 0.432 0.750 0.709
Mg2 0.568 0.250 0.291
Sn1 0.009 0.750 0.509
Sn2 0.783 0.496 0.909
Sn3 0.991 0.250 0.491
Sn4 0.217 0.504 0.091
Sn5 0.217 0.996 0.091
Sn6 0.783 0.004 0.909
Cd1 0.602 0.750 0.290
Cd2 0.398 0.250 0.710

Output
density of states at the Fermi level: 2.00 states/eV/f.u.
crystal system: monoclinic

***

Most stable: #2 (next structure +421 meV per atom)

***

#1
The following is a GGA-PBE calculation of a geometry-optimized Mg5Cd2Sn structure, from Alexandria via LeMat-Bulk.

Unit cell a=4.518 b=6.310 c=12.659 alpha=90.00 beta=90.00 gamma=90.00
Sites, in units of the cell vectors:
Mg1 0.500 0.279 0.118
Mg2 0.000 0.540 0.246
Mg3 0.000 0.040 0.254
Mg4 0.000 0.460 0.754
Mg5 0.000 0.960 0.746
Mg6 0.500 0.721 0.882
Mg7 0.000 0.500 0.500
Mg8 0.500 0.221 0.618
Mg9 0.500 0.779 0.382
Mg10 0.000 0.000 0.000
Cd1 0.500 0.297 0.363
Cd2 0.500 0.797 0.137
Cd3 0.500 0.703 0.637
Cd4 0.500 0.203 0.863
Sn1 0.000 0.000 0.500
Sn2 0.000 0.500 0.000

Output
density of states at the Fermi level: 3.29 states/eV/f.u.
crystal system: orthorhombic

***

#2
The following is a GGA-PBE calculation of a geometry-optimized Mg5Cd2Sn structure, from Alexandria via LeMat-Bulk.

Unit cell a=7.515 b=7.515 c=8.447 alpha=116.41 beta=116.41 gamma=90.00
Sites, in units of the cell vectors:
Sn1 0.250 0.250 0.500
Sn2 0.750 0.750 0.500
Cd1 0.358 0.858 0.000
Cd2 0.142 0.358 0.000
Cd3 0.858 0.642 0.000
Cd4 0.642 0.142 0.000
Mg1 0.505 0.309 0.314
Mg2 0.309 0.809 0.314
Mg3 0.500 0.500 0.000
Mg4 0.000 0.000 0.000
Mg5 0.809 0.005 0.314
Mg6 0.995 0.495 0.686
Mg7 0.691 0.191 0.686
Mg8 0.005 0.505 0.314
Mg9 0.191 0.995 0.686
Mg10 0.495 0.691 0.686

Output
density of states at the Fermi level: 3.52 states/eV/f.u.
crystal system: tetragonal

***

Most stable: #1 (next structure +32 meV per atom)

***

#1
The following is a GGA-PBE calculation of a geometry-optimized Mg2Cd7Sn2 structure, from Alexandria via LeMat-Bulk.

Unit cell a=7.545 b=6.087 c=6.087 alpha=104.24 beta=88.76 gamma=88.76
Sites, in units of the cell vectors:
Mg1 0.000 0.719 0.281
Mg2 0.000 0.281 0.719
Cd1 0.682 0.060 0.464
Cd2 0.026 0.808 0.808
Cd3 0.974 0.192 0.192
Cd4 0.318 0.940 0.536
Cd5 0.500 0.000 0.000
Cd6 0.318 0.536 0.940
Cd7 0.682 0.464 0.060
Sn1 0.314 0.399 0.399
Sn2 0.686 0.601 0.601

Output
density of states at the Fermi level: 4.57 states/eV/f.u.
crystal system: monoclinic

***

#2
The following is a GGA-PBE calculation of a geometry-optimized Mg2Cd7Sn2 structure, from Alexandria via LeMat-Bulk.

Unit cell a=5.551 b=7.622 c=7.622 alpha=93.94 beta=111.08 gamma=111.08
Sites, in units of the cell vectors:
Cd1 0.339 0.092 0.580
Cd2 0.661 0.420 0.908
Cd3 0.500 0.000 0.000
Cd4 0.661 0.908 0.420
Cd5 0.169 0.661 0.661
Cd6 0.831 0.339 0.339
Cd7 0.339 0.580 0.092
Mg1 0.000 0.745 0.255
Mg2 0.000 0.255 0.745
Sn1 0.831 0.826 0.826
Sn2 0.169 0.174 0.174

Output
density of states at the Fermi level: 2.78 states/eV/f.u.
crystal system: monoclinic

***

Most stable: #2 (next structure +19 meV per atom)

***

#1
The following is a GGA-PBE calculation of a geometry-optimized Mg6Cd12Sn structure, from Alexandria via LeMat-Bulk.

Unit cell a=7.573 b=7.573 c=7.573 alpha=89.23 beta=89.23 gamma=89.23
Sites, in units of the cell vectors:
Mg1 0.267 0.880 0.725
Mg2 0.725 0.267 0.880
Mg3 0.120 0.275 0.733
Mg4 0.733 0.120 0.275
Mg5 0.275 0.733 0.120
Mg6 0.880 0.725 0.267
Cd1 0.939 0.613 0.846
Cd2 0.846 0.939 0.613
Cd3 0.197 0.576 0.477
Cd4 0.061 0.387 0.154
Cd5 0.576 0.477 0.197
Cd6 0.523 0.803 0.424
Cd7 0.424 0.523 0.803
Cd8 0.387 0.154 0.061
Cd9 0.477 0.197 0.576
Cd10 0.803 0.424 0.523
Cd11 0.613 0.846 0.939
Cd12 0.154 0.061 0.387
Sn1 0.000 0.000 0.000

Output
density of states at the Fermi level: 6.52 states/eV/f.u.
crystal system: trigonal

***

#2
The following is a GGA-PBE calculation of a geometry-optimized Mg6Cd12Sn structure, from Alexandria via LeMat-Bulk.

Unit cell a=7.648 b=8.421 c=8.421 alpha=68.75 beta=72.38 gamma=107.62
Sites, in units of the cell vectors:
Cd1 0.519 0.841 0.274
Cd2 0.208 0.726 0.114
Cd3 0.833 0.944 0.429
Cd4 0.792 0.274 0.886
Cd5 0.167 0.056 0.571
Cd6 0.678 0.886 0.841
Cd7 0.262 0.429 0.627
Cd8 0.111 0.373 0.056
Cd9 0.481 0.159 0.726
Cd10 0.889 0.627 0.944
Cd11 0.322 0.114 0.159
Cd12 0.738 0.571 0.373
Mg1 0.571 0.519 0.789
Mg2 0.429 0.481 0.211
Mg3 0.640 0.211 0.307
Mg4 0.360 0.789 0.693
Mg5 0.947 0.307 0.481
Mg6 0.053 0.693 0.519
Sn1 0.000 0.000 0.000

Output
density of states at the Fermi level: 7.32 states/eV/f.u.
crystal system: trigonal

***

Most stable: #2 (next structure +19 meV per atom)

***

#1
The following is a GGA-PBE calculation of a geometry-optimized Mg4CdSn2 structure, from Alexandria via LeMat-Bulk.

Unit cell a=7.256 b=5.743 c=8.668 alpha=90.00 beta=109.14 gamma=90.00
Sites, in units of the cell vectors:
Sn1 0.763 0.750 0.025
Sn2 0.304 0.250 0.423
Sn3 0.237 0.250 0.975
Sn4 0.696 0.750 0.577
Mg1 0.947 0.250 0.548
Mg2 0.575 0.002 0.248
Mg3 0.575 0.498 0.248
Mg4 0.053 0.750 0.452
Mg5 0.425 0.502 0.752
Mg6 0.920 0.250 0.171
Mg7 0.425 0.998 0.752
Mg8 0.080 0.750 0.829
Cd1 0.203 0.750 0.183
Cd2 0.797 0.250 0.817

Output
density of states at the Fermi level: 1.93 states/eV/f.u.
crystal system: monoclinic

***

#2
The following is a GGA-PBE calculation of a geometry-optimized Mg4CdSn2 structure, from Alexandria via LeMat-Bulk.

Unit cell a=5.600 b=5.600 c=7.071 alpha=113.33 beta=113.33 gamma=90.00
Sites, in units of the cell vectors:
Mg1 0.000 0.500 0.000
Mg2 0.750 0.250 0.500
Mg3 0.500 0.000 0.000
Mg4 0.250 0.750 0.500
Cd1 0.000 0.000 0.000
Sn1 0.369 0.369 0.738
Sn2 0.631 0.631 0.262

Output
density of states at the Fermi level: 2.78 states/eV/f.u.
crystal system: tetragonal

***

Most stable: #1 (next structure +83 meV per atom)

***

#1
The following is a GGA-PBE calculation of a geometry-optimized Mg6CdSn structure, from Alexandria via LeMat-Bulk.

Unit cell a=6.369 b=6.369 c=5.011 alpha=90.00 beta=90.00 gamma=116.48
Sites, in units of the cell vectors:
Sn1 0.164 0.836 0.500
Mg1 0.836 0.164 0.000
Mg2 0.335 0.665 0.000
Mg3 0.830 0.658 0.000
Mg4 0.164 0.337 0.500
Mg5 0.342 0.170 0.000
Mg6 0.663 0.836 0.500
Cd1 0.666 0.334 0.500

Output
density of states at the Fermi level: 2.98 states/eV/f.u.
crystal system: orthorhombic

***

#2
The following is a GGA-PBE calculation of a geometry-optimized Mg6CdSn structure, from Alexandria via LeMat-Bulk.

Unit cell a=6.453 b=6.453 c=5.158 alpha=90.00 beta=90.00 gamma=121.99
Sites, in units of the cell vectors:
Mg1 0.660 0.837 0.000
Mg2 0.835 0.664 0.500
Mg3 0.163 0.340 0.000
Mg4 0.665 0.335 0.000
Mg5 0.336 0.165 0.500
Mg6 0.831 0.169 0.500
Sn1 0.157 0.843 0.000
Cd1 0.353 0.647 0.500

Output
density of states at the Fermi level: 3.03 states/eV/f.u.
crystal system: orthorhombic

***

Most stable: #1 (next structure +6 meV per atom)

***

#1
The following is a GGA-PBE calculation of a geometry-optimized Mg2Cd3Sn structure, from Alexandria via LeMat-Bulk.

Unit cell a=6.173 b=10.239 c=10.239 alpha=120.00 beta=90.00 gamma=90.00
Sites, in units of the cell vectors:
Mg1 0.250 0.000 0.500
Mg2 0.750 0.500 0.000
Mg3 0.250 0.000 0.000
Mg4 0.750 0.500 0.500
Mg5 0.250 0.500 0.000
Mg6 0.750 0.000 0.000
Mg7 0.750 0.000 0.500
Mg8 0.250 0.500 0.500
Sn1 0.000 0.333 0.667
Sn2 0.000 0.667 0.333
Sn3 0.500 0.333 0.667
Sn4 0.500 0.667 0.333
Cd1 0.500 0.837 0.163
Cd2 0.500 0.326 0.163
Cd3 0.500 0.163 0.837
Cd4 0.000 0.163 0.326
Cd5 0.000 0.163 0.837
Cd6 0.000 0.326 0.163
Cd7 0.000 0.837 0.674
Cd8 0.500 0.163 0.326
Cd9 0.000 0.674 0.837
Cd10 0.500 0.674 0.837
Cd11 0.000 0.837 0.163
Cd12 0.500 0.837 0.674

Output
density of states at the Fermi level: 2.40 states/eV/f.u.
crystal system: hexagonal

***

#2
The following is a GGA-PBE calculation of a geometry-optimized Mg2Cd3Sn structure, from Alexandria via LeMat-Bulk.

Unit cell a=5.945 b=5.945 c=10.134 alpha=114.78 beta=114.78 gamma=64.62
Sites, in units of the cell vectors:
Mg1 0.748 0.252 0.000
Mg2 0.252 0.748 0.000
Mg3 0.750 0.250 0.500
Mg4 0.250 0.750 0.500
Cd1 0.818 0.818 0.165
Cd2 0.653 0.653 0.835
Cd3 0.347 0.347 0.165
Cd4 0.854 0.854 0.708
Cd5 0.146 0.146 0.292
Cd6 0.182 0.182 0.835
Sn1 0.312 0.312 0.625
Sn2 0.688 0.688 0.375

Output
density of states at the Fermi level: 1.89 states/eV/f.u.
crystal system: orthorhombic

***

Most stable: #2 (next structure +9 meV per atom)

***

#1
The following is a GGA-PBE calculation of a geometry-optimized ThMgCdSn structure, from Alexandria via LeMat-Bulk.

Unit cell a=5.281 b=5.281 c=5.281 alpha=60.00 beta=60.00 gamma=60.00
Sites, in units of the cell vectors:
Th1 0.500 0.500 0.500
Mg1 0.000 0.000 0.000
Sn1 0.250 0.250 0.250
Cd1 0.750 0.750 0.750

Output
density of states at the Fermi level: 3.41 states/eV/f.u.
crystal system: cubic

***

#2
The following is a GGA-PBE calculation of a geometry-optimized ThMgCdSn structure, from Alexandria via LeMat-Bulk.

Unit cell a=4.528 b=4.652 c=4.959 alpha=90.00 beta=90.00 gamma=90.00
Sites, in units of the cell vectors:
Cd1 0.500 0.500 0.000
Mg1 0.000 0.000 0.000
Th1 0.000 0.500 0.500
Sn1 0.500 0.000 0.500

Output
density of states at the Fermi level: 2.86 states/eV/f.u.
crystal system: orthorhombic

***

Most stable: #2 (next structure +128 meV per atom)